1.
Density functional theory data (PBE-GGA) for Y2ScIr after structural relaxation.

Cell lengths 3.6033, 6.5548, 6.5548 Å; angles 42.08, 90.00, 90.00 degrees
Last column: nearest neighbours and their distance in Å.
Positions (direct):
1 Y 0.0000 0.0000 0.0000  1 Ir 2.77
2 Y 0.5000 0.3127 0.3127  4 Ir 3.00, 2 Sc 3.33
3 Sc 0.5000 0.6201 0.6201  2 Ir 2.60
4 Ir 0.0000 0.7738 0.7738  2 Sc 2.60, 1 Y 2.77

Properties
Space group: Amm2
D(E_F): 1.263 states/eV per atom
ΔE_f: -411 meV/atom

=====

2.
Density functional theory data (PBE-GGA) for YSc2Ir after structural relaxation.

Cell lengths 3.1724, 4.4615, 5.9526 Å; angles 90.00, 90.00, 90.00 degrees
Last column: nearest neighbours and their distance in Å.
Positions (direct):
1 Y 0.0000 0.0000 0.0000  2 Ir 2.98, 2 Y 3.17, 8 Sc 3.21
2 Sc 0.5000 0.5000 0.2812  1 Sc 2.61
3 Sc 0.5000 0.5000 0.7188  1 Sc 2.61
4 Ir 0.0000 0.0000 0.5000  2 Y 2.98, 8 Sc 3.03, 2 Ir 3.17

Properties
Space group: Pmmm
D(E_F): 0.948 states/eV per atom
ΔE_f: -218 meV/atom

=====

3.
Density functional theory data (PBE-GGA) for YScIr after structural relaxation.

Cell lengths 4.6243, 4.6243, 4.6243 Å; angles 60.00, 60.00, 60.00 degrees
Last column: nearest neighbours and their distance in Å.
Positions (direct):
1 Y 0.0000 0.0000 0.0000  4 Sc 2.83, 4 Ir 2.83
2 Sc 0.7500 0.7500 0.7500  4 Y 2.83
3 Ir 0.2500 0.2500 0.2500  4 Y 2.83

Properties
Space group: F-43m
D(E_F): 1.111 states/eV per atom
ΔE_f: 263 meV/atom

=====

4.
Density functional theory data (PBE-GGA) for Y2ScIr after structural relaxation.

Cell lengths 5.0140, 5.0140, 5.0140 Å; angles 60.00, 60.00, 60.00 degrees
Last column: nearest neighbours and their distance in Å.
Positions (direct):
1 Y 0.0000 0.0000 0.0000  4 Sc 3.07, 4 Y 3.07
2 Y 0.2500 0.2500 0.2500  4 Ir 3.07, 4 Y 3.07
3 Sc 0.7500 0.7500 0.7500  4 Ir 3.07, 4 Y 3.07
4 Ir 0.5000 0.5000 0.5000  4 Sc 3.07, 4 Y 3.07

Properties
Space group: F-43m
D(E_F): 1.476 states/eV per atom
ΔE_f: -180 meV/atom

=====

5.
Density functional theory data (PBE-GGA) for YScIr4 after structural relaxation.

Cell lengths 5.3034, 5.3034, 5.3034 Å; angles 60.00, 60.00, 60.00 degrees
Last column: nearest neighbours and their distance in Å.
Positions (direct):
1 Y 0.0000 0.0000 0.0000  12 Ir 3.11, 4 Sc 3.25
2 Sc 0.7500 0.7500 0.7500  12 Ir 3.11, 4 Y 3.25
3 Ir 0.3753 0.3753 0.3753  6 Ir 2.65-2.66
4 Ir 0.3753 0.3753 0.8742  6 Ir 2.65-2.66
5 Ir 0.3753 0.8742 0.3753  6 Ir 2.65-2.66
6 Ir 0.8742 0.3753 0.3753  6 Ir 2.65-2.66

Properties
Space group: F-43m
D(E_F): 0.949 states/eV per atom
ΔE_f: -762 meV/atom

=====

6.
Density functional theory data (PBE-GGA) for YSc2Ir2 after structural relaxation.

Cell lengths 7.9511, 7.9511, 3.0539 Å; angles 90.00, 90.00, 90.00 degrees
Last column: nearest neighbours and their distance in Å.
Positions (direct):
1 Y 0.0000 0.0000 0.0000  2 Y 3.05, 4 Sc 3.11, 8 Ir 3.34
2 Y 0.5000 0.5000 0.0000  2 Y 3.05, 4 Sc 3.11, 8 Ir 3.34
3 Sc 0.1316 0.3684 0.0000  6 Ir 2.75-2.82, 3 Sc 2.96-3.05
4 Sc 0.3684 0.8684 0.0000  6 Ir 2.75-2.82, 3 Sc 2.96-3.05
5 Sc 0.6316 0.1316 0.0000  6 Ir 2.75-2.82, 3 Sc 2.96-3.05
6 Sc 0.8684 0.6316 0.0000  6 Ir 2.75-2.82, 3 Sc 2.96-3.05
7 Ir 0.1648 0.6648 0.5000  6 Sc 2.75-2.82, 2 Ir 3.05
8 Ir 0.3352 0.1648 0.5000  6 Sc 2.75-2.82, 2 Ir 3.05
9 Ir 0.6648 0.8352 0.5000  6 Sc 2.75-2.82, 2 Ir 3.05
10 Ir 0.8352 0.3352 0.5000  6 Sc 2.75-2.82, 2 Ir 3.05

Properties
Space group: P4/mbm
D(E_F): 0.702 states/eV per atom
ΔE_f: -680 meV/atom

=====

7.
Density functional theory data (PBE-GGA) for Y3ScIr8 after structural relaxation.

Cell lengths 9.2355, 9.2355, 9.2355 Å; angles 33.59, 33.59, 33.59 degrees
Last column: nearest neighbours and their distance in Å.
Positions (direct):
1 Y 0.0000 0.0000 0.0000  12 Ir 3.13-3.16, 4 Y 3.29
2 Y 0.1259 0.1259 0.1259  12 Ir 3.08-3.13, 3 Sc 3.25, 1 Y 3.29
3 Y 0.6229 0.6229 0.6229  12 Ir 3.12-3.19, 1 Sc 3.24, 3 Y 3.29
4 Sc 0.4988 0.4988 0.4988  12 Ir 3.08-3.13, 4 Y 3.24-3.25
5 Ir 0.0615 0.0615 0.5608  6 Ir 2.65-2.69
6 Ir 0.0615 0.5608 0.0615  6 Ir 2.65-2.69
7 Ir 0.0642 0.5626 0.5626  6 Ir 2.65-2.68
8 Ir 0.3122 0.3122 0.3122  6 Ir 2.68-2.69
9 Ir 0.5608 0.0615 0.0615  6 Ir 2.65-2.69
10 Ir 0.5626 0.0642 0.5626  6 Ir 2.65-2.68
11 Ir 0.5626 0.5626 0.0642  6 Ir 2.65-2.68
12 Ir 0.8123 0.8123 0.8123  6 Ir 2.65

Properties
Space group: R3m
D(E_F): 0.813 states/eV per atom
ΔE_f: -782 meV/atom

=====

8.
Density functional theory data (PBE-GGA) for Y2ScIr after structural relaxation.

Cell lengths 5.9284, 5.9284, 5.9284 Å; angles 138.18, 138.18, 60.63 degrees
Last column: nearest neighbours and their distance in Å.
Positions (direct):
1 Y 0.0000 0.0000 0.0000  4 Sc 2.99, 4 Ir 3.32, 4 Y 3.32
2 Y 0.7500 0.2500 0.5000  4 Ir 2.99, 4 Sc 3.32, 4 Y 3.32
3 Sc 0.5000 0.5000 0.0000  8 Y 2.99-3.32, 4 Ir 3.32
4 Ir 0.2500 0.7500 0.5000  8 Y 2.99-3.32, 4 Sc 3.32

Properties
Space group: I-4m2
D(E_F): 1.422 states/eV per atom
ΔE_f: -175 meV/atom

=====

9.
Density functional theory data (PBE-GGA) for YSc2Ir2 after structural relaxation.

Cell lengths 6.6286, 6.6286, 6.6286 Å; angles 142.67, 142.67, 53.82 degrees
Last column: nearest neighbours and their distance in Å.
Positions (direct):
1 Y 0.0000 0.0000 0.0000  8 Ir 3.27, 8 Sc 3.64
2 Sc 0.2500 0.7500 0.5000  4 Ir 2.70, 4 Sc 3.00
3 Sc 0.7500 0.2500 0.5000  4 Ir 2.70, 4 Sc 3.00
4 Ir 0.3909 0.3909 0.0000  1 Ir 2.58, 4 Sc 2.70
5 Ir 0.6091 0.6091 0.0000  1 Ir 2.58, 4 Sc 2.70

Properties
Space group: I4/mmm
D(E_F): 0.683 states/eV per atom
ΔE_f: -787 meV/atom

=====

10.
Density functional theory data (PBE-GGA) for YSc2Ir2 after structural relaxation.

Cell lengths 6.3026, 6.3026, 6.3026 Å; angles 138.10, 138.10, 60.76 degrees
Last column: nearest neighbours and their distance in Å.
Positions (direct):
1 Y 0.0000 0.0000 0.0000  8 Sc 3.51, 8 Ir 3.53
2 Sc 0.3645 0.3645 0.0000  4 Ir 2.57
3 Sc 0.6355 0.6355 0.0000  4 Ir 2.57
4 Ir 0.2500 0.7500 0.5000  4 Sc 2.57
5 Ir 0.7500 0.2500 0.5000  4 Sc 2.57

Properties
Space group: I4/mmm
D(E_F): 0.758 states/eV per atom
ΔE_f: -336 meV/atom

=====

11.
Density functional theory data (PBE-GGA) for Y2ScIr after structural relaxation.

Cell lengths 4.9066, 4.9066, 3.8093 Å; angles 90.00, 90.00, 90.00 degrees
Last column: nearest neighbours and their distance in Å.
Positions (direct):
1 Y 0.0000 0.5000 0.0000  4 Sc 3.11, 4 Ir 3.11, 4 Y 3.47
2 Y 0.5000 0.0000 0.0000  4 Sc 3.11, 4 Ir 3.11, 4 Y 3.47
3 Sc 0.0000 0.0000 0.5000  8 Y 3.11, 4 Ir 3.47
4 Ir 0.5000 0.5000 0.5000  8 Y 3.11, 4 Sc 3.47

Properties
Space group: P4/mmm
D(E_F): 0.527 states/eV per atom
ΔE_f: -296 meV/atom

=====

12.
Density functional theory data (PBE-GGA) for Y2Sc2Ir after structural relaxation.

Cell lengths 6.8219, 6.8219, 5.3460 Å; angles 90.00, 90.00, 90.00 degrees
Last column: nearest neighbours and their distance in Å.
Positions (direct):
1 Y 0.1713 0.3287 0.0000  6 Sc 3.16-3.48, 1 Y 3.31
2 Y 0.3287 0.8287 0.0000  6 Sc 3.16-3.48, 1 Y 3.31
3 Y 0.6713 0.1713 0.0000  6 Sc 3.16-3.48, 1 Y 3.31
4 Y 0.8287 0.6713 0.0000  6 Sc 3.16-3.48, 1 Y 3.31
5 Sc 0.1543 0.6543 0.5000  2 Ir 2.58
6 Sc 0.3457 0.1543 0.5000  2 Ir 2.58
7 Sc 0.6543 0.8457 0.5000  2 Ir 2.58
8 Sc 0.8457 0.3457 0.5000  2 Ir 2.58
9 Ir 0.0000 0.0000 0.5000  4 Sc 2.58
10 Ir 0.5000 0.5000 0.5000  4 Sc 2.58

Properties
Space group: P4/mbm
D(E_F): 1.739 states/eV per atom
ΔE_f: -269 meV/atom